Entry from Alexandria via LeMat-Bulk: a geometry-optimized YMg2Cu2 structure (PBE-GGA).

Unit cell a=4.6407 b=5.8576 c=7.1143 alpha=90.00 beta=90.00 gamma=90.00
With the nearest neighbours (Å) after each atom.
Space group Immm (No. 71)
Symmetry-distinct sites (fractional):
Y1 0.0000 0.0000 0.0000 (multiplicity 2)  4 Cu 2.91, 4 Mg 3.15
Mg1 0.0000 0.5000 0.2006 (multiplicity 4)  6 Cu 2.76-2.97, 1 Mg 2.85
Cu1 0.0000 0.2016 0.5000 (multiplicity 4)  1 Cu 2.36

Values from the calculation:
Distance to the lowest polymorph of the same formula   40.4 meV/atom
Energy   -18.4 eV/f.u.